No. 1
Material: KHoCu
Method: DFT, GGA-PBE
State: relaxed

Calculated values
Total magnetic moment = 0.1 μB per cell
Energy relative to the lowest polymorph listed for this composition = 0 meV/atom
DFT total energy = -2.615 eV per atom

Cell and atoms, written as POSCAR:
```
KHoCu
1.0
-0.3144 4.6275 -6.0044
5.1507 -5.5660 0.2342
-3.2074 -3.0602 -2.1905
K Cu Ho
3 3 3
direct
0.0000 0.2429 0.0000
0.2429 0.0000 0.0000
0.7571 0.7571 0.0000
0.0000 0.0000 0.5000
0.6667 0.3333 0.0000
0.3333 0.6667 0.0000
0.0000 0.5717 0.5000
0.5717 0.0000 0.5000
0.4283 0.4283 0.5000
```


No. 2
Material: AcErO3
Method: DFT, GGA-PBE
State: relaxed

Calculated values
Total magnetic moment = 0.0 μB per cell
DFT total energy = -7.617 eV per atom

Cell and atoms, written as POSCAR:
```
AcErO3
1.0
-2.3496 2.7776 1.2174
-2.9097 -1.6306 -1.8953
-1.3350 -3.2550 4.8500
Ac O Er
1 3 1
direct
0.5000 0.5000 0.4824
0.0000 0.5000 0.7101
0.5000 0.5000 0.0971
0.5000 0.0000 0.7101
0.0000 0.0000 0.9004
```


No. 3
Material: SiHgB
Method: DFT, GGA-PBE
State: relaxed

Calculated values
Energy relative to the lowest polymorph listed for this composition = 0 meV/atom
DFT total energy = -3.054 eV per atom

Cell and atoms, written as POSCAR:
```
SiHgB
1.0
1.5650 -3.4660 -1.4579
-2.4696 -2.9104 -1.4207
-0.1438 -0.7773 -3.9953
Hg Si B
1 1 1
direct
0.2500 0.2500 0.2500
0.7500 0.7500 0.7500
0.0000 0.0000 0.0000
```


No. 4
Material: AgTe3PbAu
Method: DFT, GGA-PBE
State: relaxed

Calculated values
DFT total energy = -3.243 eV per atom

Cell and atoms, written as POSCAR:
```
AgTe3PbAu
1.0
11.8890 0.0000 0.0000
0.0000 3.1898 0.0000
0.0000 0.0000 9.1490
Te Au Ag Pb
6 2 2 2
direct
0.5168 0.0000 0.2941
0.9832 0.0000 0.2941
0.0168 0.0000 0.7059
0.2500 0.0000 0.0201
0.4832 0.0000 0.7059
0.7500 0.0000 0.9799
0.0000 0.0000 0.0000
0.5000 0.0000 0.0000
0.7500 0.0000 0.3059
0.2500 0.0000 0.6941
0.2500 0.0000 0.3683
0.7500 0.0000 0.6317
```


No. 5
Material: ZrCoAg2
Method: DFT, GGA-PBE
State: relaxed

Calculated values
Total magnetic moment = 0.9 μB per cell
Formation enthalpy at 0 K = 0.41 eV/f.u.
DFT total energy = -5.224 eV per atom

Cell and atoms, written as POSCAR:
```
ZrCoAg2
1.0
0.0000 3.2353 3.2353
3.2353 0.0000 3.2353
3.2353 3.2353 0.0000
Ag Zr Co
2 1 1
direct
0.7500 0.7500 0.7500
0.0000 0.0000 0.0000
0.5000 0.5000 0.5000
0.2500 0.2500 0.2500
```


No. 6
Material: BeFeTcAu
Method: DFT, GGA-PBE
State: relaxed

Calculated values
Total magnetic moment = 3.2 μB per cell
Energy relative to the lowest polymorph listed for this composition = 0 meV/atom
DFT total energy = -6.253 eV per atom

Cell and atoms, written as POSCAR:
```
BeFeTcAu
1.0
0.0000 2.9367 2.9367
2.9367 0.0000 2.9367
2.9367 2.9367 0.0000
Tc Au Be Fe
1 1 1 1
direct
0.5000 0.5000 0.5000
0.0000 0.0000 0.0000
0.7500 0.7500 0.7500
0.2500 0.2500 0.2500
```


Question: DFT total energy of number 2 (AcErO3)?
Answer: -7.617 eV per atom